Record 1
A plane-wave DFT calculation with PBE-GGA was carried out for Ac2ScP3Rh12 after structural relaxation.

Properties
The value obtained for the total magnetic moment is 0.00 μB per formula unit. The density of states at the Fermi level is 15.5 states/eV per cell. For the energy of formation from the pure elements, the calculation gives -330 meV per atom.

Structure (CIF):
```
data_Ac2ScP3Rh12
_chemical_formula_sum 'Ac2 Sc1 P3 Rh12'
_cell_length_a 7.205
_cell_length_b 7.205
_cell_length_c 7.205
_cell_angle_alpha 72.75
_cell_angle_beta 72.75
_cell_angle_gamma 72.75
_symmetry_space_group_name_H-M 'P 1'
_symmetry_Int_Tables_number 1
_symmetry_space_group_name_Hall 'P 1'
loop_
_atom_site_label
_atom_site_type_symbol
_atom_site_fract_x
_atom_site_fract_y
_atom_site_fract_z
Ac1 Ac 0.609 0.609 0.609
Ac2 Ac 0.391 0.391 0.391
Sc1 Sc 0.000 0.000 0.000
P1 P 0.500 0.000 0.000
P2 P 0.000 0.500 0.000
P3 P 0.000 0.000 0.500
Rh1 Rh 0.323 0.323 0.909
Rh2 Rh 0.858 0.858 0.367
Rh3 Rh 0.367 0.858 0.858
Rh4 Rh 0.909 0.323 0.323
Rh5 Rh 0.858 0.367 0.858
Rh6 Rh 0.323 0.909 0.323
Rh7 Rh 0.677 0.677 0.091
Rh8 Rh 0.142 0.142 0.633
Rh9 Rh 0.633 0.142 0.142
Rh10 Rh 0.091 0.677 0.677
Rh11 Rh 0.142 0.633 0.142
Rh12 Rh 0.677 0.091 0.677
```

=====

Record 2
A plane-wave DFT calculation with PBE-GGA was carried out for MnIr4Br after structural relaxation.

Properties
As for the raw formation energy: 863 meV per atom. The value obtained for the total magnetic moment is 0.94 μB per formula unit. The density of states at the Fermi level is 10.2 states/eV per cell.

Structure (CIF):
```
data_MnIr4Br
_chemical_formula_sum 'Mn1 Ir4 Br1'
_cell_length_a 5.275
_cell_length_b 5.275
_cell_length_c 5.275
_cell_angle_alpha 60.00
_cell_angle_beta 60.00
_cell_angle_gamma 60.00
_symmetry_space_group_name_H-M 'P 1'
_symmetry_Int_Tables_number 1
_symmetry_space_group_name_Hall 'P 1'
loop_
_atom_site_label
_atom_site_type_symbol
_atom_site_fract_x
_atom_site_fract_y
_atom_site_fract_z
Mn1 Mn 0.750 0.750 0.750
Ir1 Ir 0.875 0.375 0.375
Ir2 Ir 0.375 0.375 0.875
Ir3 Ir 0.375 0.875 0.375
Ir4 Ir 0.375 0.375 0.375
Br1 Br 0.000 0.000 0.000
```

=====

Record 3
A plane-wave DFT calculation with PBE-GGA was carried out for TbIn2Ni after structural relaxation.

Properties
The value obtained for the total magnetic moment is 0.00 μB per formula unit. The density of states at the Fermi level is 18.3 states/eV per cell. For the energy of formation from the pure elements, the calculation gives -419 meV per atom.

Structure (CIF):
```
data_TbIn2Ni
_chemical_formula_sum 'Tb8 In16 Ni8'
_cell_length_a 5.648
_cell_length_b 7.409
_cell_length_c 16.214
_cell_angle_alpha 90.00
_cell_angle_beta 90.00
_cell_angle_gamma 90.00
_symmetry_space_group_name_H-M 'P 1'
_symmetry_Int_Tables_number 1
_symmetry_space_group_name_Hall 'P 1'
loop_
_atom_site_label
_atom_site_type_symbol
_atom_site_fract_x
_atom_site_fract_y
_atom_site_fract_z
Tb1 Tb 0.464 0.250 0.142
Tb2 Tb 0.964 0.750 0.358
Tb3 Tb 0.536 0.750 0.858
Tb4 Tb 0.036 0.250 0.642
Tb5 Tb 0.744 0.250 0.392
Tb6 Tb 0.244 0.750 0.108
Tb7 Tb 0.256 0.750 0.608
Tb8 Tb 0.756 0.250 0.892
In1 In 0.972 0.050 0.214
In2 In 0.472 0.950 0.286
In3 In 0.028 0.550 0.786
In4 In 0.528 0.450 0.714
In5 In 0.028 0.950 0.786
In6 In 0.528 0.050 0.714
In7 In 0.972 0.450 0.214
In8 In 0.472 0.550 0.286
In9 In 0.747 0.548 0.035
In10 In 0.247 0.452 0.465
In11 In 0.253 0.048 0.965
In12 In 0.753 0.952 0.535
In13 In 0.253 0.452 0.965
In14 In 0.753 0.548 0.535
In15 In 0.747 0.952 0.035
In16 In 0.247 0.048 0.465
Ni1 Ni 0.232 0.250 0.325
Ni2 Ni 0.732 0.750 0.175
Ni3 Ni 0.768 0.750 0.675
Ni4 Ni 0.268 0.250 0.825
Ni5 Ni 0.990 0.250 0.073
Ni6 Ni 0.490 0.750 0.427
Ni7 Ni 0.010 0.750 0.927
Ni8 Ni 0.510 0.250 0.573
```

=====

Record 4
A plane-wave DFT calculation with PBE-GGA was carried out for HfScTc2 after structural relaxation.

Properties
The value obtained for the total magnetic moment is 0.00 μB per formula unit. The density of states at the Fermi level is 5.5 states/eV per cell. For the energy of formation from the pure elements, the calculation gives -272 meV per atom.

Structure (CIF):
```
data_HfScTc2
_chemical_formula_sum 'Hf1 Sc1 Tc2'
_cell_length_a 4.599
_cell_length_b 4.599
_cell_length_c 4.599
_cell_angle_alpha 60.00
_cell_angle_beta 60.00
_cell_angle_gamma 60.00
_symmetry_space_group_name_H-M 'P 1'
_symmetry_Int_Tables_number 1
_symmetry_space_group_name_Hall 'P 1'
loop_
_atom_site_label
_atom_site_type_symbol
_atom_site_fract_x
_atom_site_fract_y
_atom_site_fract_z
Sc1 Sc 0.750 0.750 0.750
Hf1 Hf 0.250 0.250 0.250
Tc1 Tc 0.500 0.500 0.500
Tc2 Tc 0.000 0.000 0.000
```

=====

Record 5
A plane-wave DFT calculation with PBE-GGA was carried out for Ac2LaTlRu after structural relaxation.

Properties
The value obtained for the total magnetic moment is 0.00 μB per formula unit. The density of states at the Fermi level is 6.8 states/eV per cell. For the energy of formation from the pure elements, the calculation gives -256 meV per atom.

Structure (CIF):
```
data_Ac2LaTlRu
_chemical_formula_sum 'Ac4 La2 Tl2 Ru2'
_cell_length_a 4.373
_cell_length_b 9.166
_cell_length_c 9.342
_cell_angle_alpha 105.12
_cell_angle_beta 90.00
_cell_angle_gamma 90.00
_symmetry_space_group_name_H-M 'P 1'
_symmetry_Int_Tables_number 1
_symmetry_space_group_name_Hall 'P 1'
loop_
_atom_site_label
_atom_site_type_symbol
_atom_site_fract_x
_atom_site_fract_y
_atom_site_fract_z
Ac1 Ac 0.750 0.889 0.625
Ac2 Ac 0.750 0.808 0.039
Ac3 Ac 0.250 0.111 0.375
Ac4 Ac 0.250 0.192 0.961
La1 La 0.250 0.560 0.690
La2 La 0.750 0.440 0.310
Tl1 Tl 0.250 0.715 0.310
Tl2 Tl 0.750 0.285 0.690
Ru1 Ru 0.250 0.830 0.821
Ru2 Ru 0.750 0.170 0.179
```

=====

Record 6
A plane-wave DFT calculation with PBE-GGA was carried out for Pm6AgTe5 after structural relaxation.

Properties
As for the raw formation energy: -1226 meV per atom. The value obtained for the total magnetic moment is 0.00 μB per formula unit. The density of states at the Fermi level is 5.7 states/eV per cell.

Structure (CIF):
```
data_Pm6AgTe5
_chemical_formula_sum 'Pm6 Ag1 Te5'
_cell_length_a 7.707
_cell_length_b 7.707
_cell_length_c 7.697
_cell_angle_alpha 99.66
_cell_angle_beta 99.66
_cell_angle_gamma 120.05
_symmetry_space_group_name_H-M 'P 1'
_symmetry_Int_Tables_number 1
_symmetry_space_group_name_Hall 'P 1'
loop_
_atom_site_label
_atom_site_type_symbol
_atom_site_fract_x
_atom_site_fract_y
_atom_site_fract_z
Te1 Te 0.828 0.172 0.500
Te2 Te 0.665 0.335 0.000
Te3 Te 0.500 0.500 0.500
Te4 Te 0.335 0.665 0.000
Te5 Te 0.172 0.828 0.500
Ag1 Ag 0.000 0.000 0.000
Pm1 Pm 0.407 0.079 0.243
Pm2 Pm 0.921 0.593 0.757
Pm3 Pm 0.242 0.242 0.751
Pm4 Pm 0.758 0.758 0.249
Pm5 Pm 0.079 0.407 0.243
Pm6 Pm 0.593 0.921 0.757
```

=====

Record 7
A plane-wave DFT calculation with PBE-GGA was carried out for BeCd2Ru after structural relaxation.

Properties
The value obtained for the total magnetic moment is 0.00 μB per formula unit. The density of states at the Fermi level is 2.0 states/eV per cell. For the energy of formation from the pure elements, the calculation gives 287 meV per atom.

Structure (CIF):
```
data_BeCd2Ru
_chemical_formula_sum 'Be1 Cd2 Ru1'
_cell_length_a 4.127
_cell_length_b 3.912
_cell_length_c 3.912
_cell_angle_alpha 90.00
_cell_angle_beta 90.00
_cell_angle_gamma 90.00
_symmetry_space_group_name_H-M 'P 1'
_symmetry_Int_Tables_number 1
_symmetry_space_group_name_Hall 'P 1'
loop_
_atom_site_label
_atom_site_type_symbol
_atom_site_fract_x
_atom_site_fract_y
_atom_site_fract_z
Ru1 Ru 0.500 0.500 0.000
Be1 Be 0.500 0.000 0.500
Cd1 Cd 0.000 0.000 0.000
Cd2 Cd 0.000 0.500 0.500
```

=====

Record 8
A plane-wave DFT calculation with PBE-GGA was carried out for Ca3Ho2TmSe6 after structural relaxation.

Properties
As for the raw formation energy: -1854 meV per atom. The value obtained for the total magnetic moment is 0.00 μB per formula unit. The density of states at the Fermi level is 4.3 states/eV per cell.

Structure (CIF):
```
data_Ca3Ho2TmSe6
_chemical_formula_sum 'Ca3 Ho2 Tm1 Se6'
_cell_length_a 7.082
_cell_length_b 7.082
_cell_length_c 7.199
_cell_angle_alpha 99.47
_cell_angle_beta 99.47
_cell_angle_gamma 119.94
_symmetry_space_group_name_H-M 'P 1'
_symmetry_Int_Tables_number 1
_symmetry_space_group_name_Hall 'P 1'
loop_
_atom_site_label
_atom_site_type_symbol
_atom_site_fract_x
_atom_site_fract_y
_atom_site_fract_z
Ca1 Ca 0.167 0.833 0.500
Ca2 Ca 0.833 0.167 0.500
Ca3 Ca 0.500 0.500 0.500
Ho1 Ho 0.334 0.666 0.000
Ho2 Ho 0.666 0.334 0.000
Tm1 Tm 0.000 0.000 0.000
Se1 Se 0.919 0.588 0.757
Se2 Se 0.750 0.750 0.243
Se3 Se 0.081 0.412 0.243
Se4 Se 0.588 0.919 0.757
Se5 Se 0.250 0.250 0.757
Se6 Se 0.412 0.081 0.243
```

=====

Record 9
A plane-wave DFT calculation with PBE-GGA was carried out for CaMg6Ga2 after structural relaxation.

Properties
The value obtained for the total magnetic moment is 0.00 μB per formula unit. The density of states at the Fermi level is 3.1 states/eV per cell. For the energy of formation from the pure elements, the calculation gives -168 meV per atom.

Structure (CIF):
```
data_CaMg6Ga2
_chemical_formula_sum 'Ca1 Mg6 Ga2'
_cell_length_a 4.473
_cell_length_b 4.473
_cell_length_c 10.357
_cell_angle_alpha 90.00
_cell_angle_beta 90.00
_cell_angle_gamma 90.00
_symmetry_space_group_name_H-M 'P 1'
_symmetry_Int_Tables_number 1
_symmetry_space_group_name_Hall 'P 1'
loop_
_atom_site_label
_atom_site_type_symbol
_atom_site_fract_x
_atom_site_fract_y
_atom_site_fract_z
Ca1 Ca 0.000 0.000 0.000
Mg1 Mg 0.000 0.500 0.279
Mg2 Mg 0.500 0.000 0.279
Mg3 Mg 0.000 0.500 0.721
Mg4 Mg 0.500 0.000 0.721
Mg5 Mg 0.500 0.500 0.500
Mg6 Mg 0.000 0.000 0.500
Ga1 Ga 0.500 0.500 0.119
Ga2 Ga 0.500 0.500 0.881
```

=====

Record 10
A plane-wave DFT calculation with PBE-GGA was carried out for CoSnSb after structural relaxation.

Properties
As for the raw formation energy: -68 meV per atom. The value obtained for the total magnetic moment is 0.33 μB per formula unit. The density of states at the Fermi level is 4.1 states/eV per cell.

Structure (CIF):
```
data_CoSnSb
_chemical_formula_sum 'Co2 Sn2 Sb2'
_cell_length_a 3.193
_cell_length_b 5.982
_cell_length_c 6.417
_cell_angle_alpha 90.00
_cell_angle_beta 90.00
_cell_angle_gamma 90.00
_symmetry_space_group_name_H-M 'P 1'
_symmetry_Int_Tables_number 1
_symmetry_space_group_name_Hall 'P 1'
loop_
_atom_site_label
_atom_site_type_symbol
_atom_site_fract_x
_atom_site_fract_y
_atom_site_fract_z
Co1 Co 0.000 0.237 0.000
Co2 Co 0.500 0.763 0.500
Sn1 Sn 0.500 0.549 0.148
Sn2 Sn 0.000 0.451 0.648
Sb1 Sb 0.000 0.056 0.360
Sb2 Sb 0.500 0.944 0.860
```

=====

Record 11
A plane-wave DFT calculation with PBE-GGA was carried out for HoZrC2 after structural relaxation.

Properties
The value obtained for the total magnetic moment is 0.00 μB per formula unit. The density of states at the Fermi level is 2.3 states/eV per cell. For the energy of formation from the pure elements, the calculation gives -411 meV per atom.

Structure (CIF):
```
data_HoZrC2
_chemical_formula_sum 'Ho1 Zr1 C2'
_cell_length_a 3.429
_cell_length_b 3.429
_cell_length_c 6.021
_cell_angle_alpha 73.46
_cell_angle_beta 73.46
_cell_angle_gamma 60.00
_symmetry_space_group_name_H-M 'P 1'
_symmetry_Int_Tables_number 1
_symmetry_space_group_name_Hall 'P 1'
loop_
_atom_site_label
_atom_site_type_symbol
_atom_site_fract_x
_atom_site_fract_y
_atom_site_fract_z
C1 C 0.256 0.256 0.231
C2 C 0.744 0.744 0.769
Ho1 Ho 0.500 0.500 0.500
Zr1 Zr 0.000 0.000 0.000
```

=====

Record 12
A plane-wave DFT calculation with PBE-GGA was carried out for TiSnAsCl2 after structural relaxation.

Properties
As for the raw formation energy: -351 meV per atom. The value obtained for the total magnetic moment is 1.55 μB per formula unit. The density of states at the Fermi level is 3.0 states/eV per cell.

Structure (CIF):
```
data_TiSnAsCl2
_chemical_formula_sum 'Ti1 Sn1 As1 Cl2'
_cell_length_a 4.571
_cell_length_b 6.121
_cell_length_c 4.571
_cell_angle_alpha 90.00
_cell_angle_beta 90.00
_cell_angle_gamma 90.00
_symmetry_space_group_name_H-M 'P 1'
_symmetry_Int_Tables_number 1
_symmetry_space_group_name_Hall 'P 1'
loop_
_atom_site_label
_atom_site_type_symbol
_atom_site_fract_x
_atom_site_fract_y
_atom_site_fract_z
As1 As 0.500 0.500 0.500
Cl1 Cl 0.000 0.000 0.500
Cl2 Cl 0.500 0.000 0.000
Sn1 Sn 0.000 0.500 0.000
Ti1 Ti 0.000 0.000 0.000
```

=====

One value per record, in order, for raw total energy: -6.941; -6.851; -4.391; -9.526; -5.213; -5.148; -3.421; -5.232; -2.126; -5.145; -8.305; -4.400 eV/atom.